First-principles (PBE) data for a relaxed Ca4Sm3In4 crystal, as listed in the Alexandria database.

Computed properties:
Uncorrected energy   -3.286 eV/atom
Spin magnetization   0.000 μB/cell
Formation energy   -26.55 kJ per mole of atoms

Geometry as POSCAR:
```
Ca4Sm3In4
1.0
5.422 0.000 0.000
0.000 7.254 0.000
-2.711 -3.627 8.829
In Sm Ca
4 3 4
direct
0.500 0.204 0.000
0.500 0.796 0.000
0.822 0.322 0.644
0.178 0.678 0.356
0.000 0.500 0.000
0.096 0.096 0.193
0.904 0.904 0.807
0.319 0.084 0.637
0.681 0.447 0.363
0.319 0.553 0.637
0.681 0.916 0.363
```

***

First-principles (PBE) data for a relaxed CaSm5In4 crystal, as listed in the Alexandria database.

Computed properties:
Uncorrected energy   -3.762 eV/atom
Spin magnetization   0.001 μB/cell
Formation energy   -10.34 kJ per mole of atoms

Geometry as POSCAR:
```
CaSm5In4
1.0
8.560 0.000 0.000
0.000 8.579 0.000
0.000 0.000 9.038
In Sm Ca
8 10 2
direct
0.553 0.341 0.000
0.447 0.841 0.500
0.967 0.000 0.161
0.033 0.500 0.339
0.447 0.159 0.500
0.967 0.000 0.839
0.553 0.659 0.000
0.033 0.500 0.661
0.740 0.267 0.303
0.260 0.767 0.197
0.740 0.267 0.697
0.740 0.733 0.697
0.923 0.500 0.000
0.077 0.000 0.500
0.260 0.233 0.197
0.260 0.767 0.803
0.740 0.733 0.303
0.260 0.233 0.803
0.382 0.500 0.500
0.618 0.000 0.000
```

***

First-principles (PBE) data for a relaxed CaSm2In3 crystal, as listed in the Alexandria database.

Computed properties:
Uncorrected energy   -3.753 eV/atom
Spin magnetization   0.000 μB/cell
Formation energy   -46.05 kJ per mole of atoms

Geometry as POSCAR:
```
CaSm2In3
1.0
3.713 0.000 0.000
0.000 3.713 0.000
0.000 0.000 12.261
In Sm Ca
3 2 1
direct
0.000 0.000 0.665
0.000 0.000 0.335
0.000 0.000 0.000
0.500 0.500 0.169
0.500 0.500 0.831
0.500 0.500 0.500
```

***

First-principles (PBE) data for a relaxed Ca2SmIn9 crystal, as listed in the Alexandria database.

Computed properties:
Uncorrected energy   -3.148 eV/atom
Spin magnetization   0.000 μB/cell
Formation energy   -35.45 kJ per mole of atoms

Geometry as POSCAR:
```
Ca2SmIn9
1.0
4.707 0.000 0.000
0.000 4.707 0.000
0.000 0.000 14.143
In Ca Sm
9 2 1
direct
0.500 0.000 0.833
0.000 0.500 0.167
0.500 0.000 0.500
0.500 0.500 0.333
0.000 0.500 0.833
0.500 0.000 0.167
0.500 0.500 0.667
0.000 0.500 0.500
0.500 0.500 0.000
0.000 0.000 0.333
0.000 0.000 0.667
0.000 0.000 0.000
```

***

> Which formula does entry 1 have?

Ca4Sm3In4